Entry 1:
The following is a DFT calculation (PBE) of a relaxed structure of Y2NbHgPt.

The space group is P4/mmm (123). The value obtained for the energy of formation is 0.318 eV per atom.

Unit cell a=5.3325 b=5.3325 c=5.1556 alpha=90.00 beta=90.00 gamma=90.00
Last column: nearest neighbours and their distance in Å.
Fractional positions:
Y: 0.0000 0.5000 0.0000  2 Pt 2.67
Y: 0.5000 0.0000 0.0000  2 Pt 2.67
Nb: 0.0000 0.0000 0.5000  8 Y 3.71, 4 Hg 3.77
Hg: 0.5000 0.5000 0.5000  2 Pt 2.58
Pt: 0.5000 0.5000 0.0000  2 Hg 2.58, 4 Y 2.67

=====

Entry 2:
The following is a DFT calculation (PBE) of a relaxed structure of Pu2NbHg.

The space group is P4/mmm (123). As for the relative energy among the computed polymorphs: 0.000 eV/atom. The value obtained for the energy of formation is 0.097 eV per atom.

Unit cell a=3.1466 b=3.1466 c=9.3939 alpha=90.00 beta=90.00 gamma=90.00
Last column: nearest neighbours and their distance in Å.
Fractional positions:
Pu: 0.0000 0.0000 0.2335  4 Nb 3.12, 4 Pu 3.15, 4 Hg 3.35
Pu: 0.0000 0.0000 0.7665  4 Nb 3.12, 4 Pu 3.15, 4 Hg 3.35
Nb: 0.5000 0.5000 0.0000  8 Pu 3.12, 4 Nb 3.15
Hg: 0.5000 0.5000 0.5000  4 Hg 3.15, 8 Pu 3.35

=====

Entry 3:
The following is a DFT calculation (PBE) of a relaxed structure of Pu2NbHg.

The space group is R-3m (166). As for the relative energy among the computed polymorphs: 0.222 eV/atom. The value obtained for the energy of formation is 0.319 eV per atom.

Unit cell a=3.1830 b=3.1830 c=34.1566 alpha=90.00 beta=90.00 gamma=120.00
Last column: nearest neighbours and their distance in Å.
Fractional positions:
Pu: 0.0000 0.0000 0.0946  3 Nb 3.07, 6 Pu 3.18, 1 Hg 3.23
Pu: 0.0000 0.0000 0.9054  3 Nb 3.07, 6 Pu 3.18, 1 Hg 3.23
Pu: 0.3333 0.6667 0.5721  3 Nb 3.07, 6 Pu 3.18, 1 Hg 3.23
Pu: 0.3333 0.6667 0.7613  3 Nb 3.07, 6 Pu 3.18, 1 Hg 3.23
Pu: 0.6667 0.3333 0.2387  3 Nb 3.07, 6 Pu 3.18, 1 Hg 3.23
Pu: 0.6667 0.3333 0.4279  3 Nb 3.07, 6 Pu 3.18, 1 Hg 3.23
Nb: 0.0000 0.0000 0.5000  6 Pu 3.07, 6 Nb 3.18
Nb: 0.3333 0.6667 0.1667  6 Pu 3.07, 6 Nb 3.18
Nb: 0.6667 0.3333 0.8333  6 Pu 3.07, 6 Nb 3.18
Hg: 0.0000 0.0000 0.0000  6 Hg 3.18, 2 Pu 3.23
Hg: 0.3333 0.6667 0.6667  6 Hg 3.18, 2 Pu 3.23
Hg: 0.6667 0.3333 0.3333  6 Hg 3.18, 2 Pu 3.23

=====

Entry 4:
The following is a DFT calculation (PBE) of a relaxed structure of PuNbHg.

The space group is P-1 (2). The value obtained for the energy of formation is 0.072 eV per atom.

Unit cell a=2.9756 b=4.9964 c=8.9304 alpha=90.08 beta=91.72 gamma=90.01
Last column: nearest neighbours and their distance in Å.
Fractional positions:
Pu: 0.0097 0.2514 0.2517  2 Pu 2.98, 4 Nb 2.99-3.30, 4 Hg 3.19-3.25
Pu: 0.9903 0.7486 0.7483  2 Pu 2.98, 4 Nb 2.99-3.30, 4 Hg 3.19-3.25
Nb: 0.3530 0.7509 0.4395  4 Nb 2.84-2.98, 3 Pu 2.99-3.17, 1 Hg 3.12
Nb: 0.6470 0.2491 0.5605  4 Nb 2.84-2.98, 3 Pu 2.99-3.17, 1 Hg 3.12
Hg: 0.4830 0.2493 0.9042  4 Hg 2.98-3.03, 1 Nb 3.12, 4 Pu 3.19-3.25
Hg: 0.5170 0.7507 0.0958  4 Hg 2.98-3.03, 1 Nb 3.12, 4 Pu 3.19-3.25

=====

Entry 5:
The following is a DFT calculation (PBE) of a relaxed structure of RbNbHg.

The space group is P1 (1). As for the relative energy among the computed polymorphs: 0.185 eV/atom. The value obtained for the energy of formation is 0.439 eV per atom.

Unit cell a=3.4212 b=5.3548 c=12.5340 alpha=95.38 beta=90.98 gamma=108.55
Last column: nearest neighbours and their distance in Å.
Fractional positions:
Rb: 0.0000 0.0000 0.0000  2 Rb 3.42, 3 Hg 3.62-3.65
Rb: 0.2614 0.6004 0.3433  2 Rb 3.42, 2 Hg 3.68
Nb: 0.0335 0.1138 0.5674  2 Nb 2.59, 1 Hg 2.78
Nb: 0.5088 0.0453 0.7168  2 Nb 2.59
Hg: 0.2434 0.5056 0.8168  3 Nb 3.06-3.13, 4 Hg 3.24-3.42
Hg: 0.7693 0.5815 0.6024  3 Nb 2.78-2.92

=====

Entry 6:
The following is a DFT calculation (PBE) of a relaxed structure of RbNbHg.

The space group is P1 (1). As for the relative energy among the computed polymorphs: 0.212 eV/atom. The value obtained for the energy of formation is 0.467 eV per atom.

Unit cell a=3.3051 b=6.4388 c=9.4902 alpha=72.32 beta=89.71 gamma=76.39
Last column: nearest neighbours and their distance in Å.
Fractional positions:
Rb: 0.0000 0.0000 0.0000  2 Rb 3.31, 2 Hg 3.58-3.61
Rb: 0.2617 0.3770 0.2662  2 Rb 3.31, 4 Hg 3.46-3.65
Nb: 0.0410 0.9107 0.6187  2 Nb 2.49-2.63
Nb: 0.7079 0.6137 0.7683  2 Nb 2.49-2.63
Hg: 0.3589 0.2959 0.6587  4 Nb 3.00-3.05, 2 Hg 3.31
Hg: 0.5978 0.7966 0.3919  2 Nb 2.97, 2 Hg 3.31